[1]
# CePuSc2Se4 | Alexandria | GGA-PBE | relaxed
# Energy relative to the elements, uncorrected   -1.641 eV per atom
data_CePuSc2Se4
_space_group_name_H-M_alt 'P 1'
_space_group_IT_number 1
_space_group_name_Hall 'P 1'
_cell_length_a 6.8948
_cell_length_b 3.9802
_cell_length_c 7.0946
_cell_angle_alpha 90.00
_cell_angle_beta 108.89
_cell_angle_gamma 90.00
loop_
_atom_site_label
_atom_site_fract_x
_atom_site_fract_y
_atom_site_fract_z
Ce1 0.0000 0.0000 0.0000
Pu1 0.5000 0.5000 0.0000
Sc1 0.0000 0.5000 0.5000
Sc2 0.5000 0.0000 0.5000
Se1 0.2448 0.0000 0.7276
Se2 0.2606 0.5000 0.2748
Se3 0.7394 0.5000 0.7252
Se4 0.7552 0.0000 0.2724

=====

[2]
# SiTcPb | Alexandria | GGA-PBE | relaxed
# Energy relative to the elements, uncorrected   0.157 eV per atom
data_SiTcPb
_space_group_name_H-M_alt 'P 1'
_space_group_IT_number 1
_space_group_name_Hall 'P 1'
_cell_length_a 5.6510
_cell_length_b 5.6510
_cell_length_c 5.6510
_cell_angle_alpha 146.25
_cell_angle_beta 146.25
_cell_angle_gamma 48.47
loop_
_atom_site_label
_atom_site_fract_x
_atom_site_fract_y
_atom_site_fract_z
Si1 0.0000 0.0000 0.0000
Tc1 0.5865 0.5865 0.0000
Pb1 0.2896 0.2896 0.0000

=====

[3]
# RbRuOF2 | Alexandria | GGA-PBE | relaxed
# Energy relative to the elements, uncorrected   0.310 eV per atom
data_RbRuOF2
_space_group_name_H-M_alt 'P 1'
_space_group_IT_number 1
_space_group_name_Hall 'P 1'
_cell_length_a 4.8696
_cell_length_b 4.8696
_cell_length_c 4.3773
_cell_angle_alpha 90.00
_cell_angle_beta 90.00
_cell_angle_gamma 90.00
loop_
_atom_site_label
_atom_site_fract_x
_atom_site_fract_y
_atom_site_fract_z
Rb1 0.0000 0.0000 0.0000
Ru1 0.5000 0.5000 0.5000
O1 0.0000 0.0000 0.5000
F1 0.0000 0.5000 0.0000
F2 0.5000 0.0000 0.0000

=====

[4]
# TiZn3Cu | Alexandria | GGA-PBE | relaxed
# ΔH_f (0 K)   0.40 eV/atom
data_TiZn3Cu
_space_group_name_H-M_alt 'P 1'
_space_group_IT_number 1
_space_group_name_Hall 'P 1'
_cell_length_a 4.4409
_cell_length_b 4.4409
_cell_length_c 4.4409
_cell_angle_alpha 90.00
_cell_angle_beta 90.00
_cell_angle_gamma 90.00
loop_
_atom_site_label
_atom_site_fract_x
_atom_site_fract_y
_atom_site_fract_z
Ti1 0.0000 0.0000 0.0000
Zn1 0.0000 0.5000 0.5000
Zn2 0.5000 0.0000 0.5000
Zn3 0.5000 0.5000 0.0000
Cu1 0.5000 0.5000 0.5000

=====

[5]
# Ta2AlO2 | Alexandria | GGA-PBE | relaxed
# Energy relative to the elements, uncorrected   -0.897 eV per atom
data_Ta2AlO2
_space_group_name_H-M_alt 'P 1'
_space_group_IT_number 1
_space_group_name_Hall 'P 1'
_cell_length_a 4.7335
_cell_length_b 4.7335
_cell_length_c 4.7335
_cell_angle_alpha 125.72
_cell_angle_beta 125.72
_cell_angle_gamma 80.35
loop_
_atom_site_label
_atom_site_fract_x
_atom_site_fract_y
_atom_site_fract_z
Ta1 0.2500 0.7500 0.5000
Ta2 0.7500 0.2500 0.5000
Al1 0.0000 0.0000 0.0000
O1 0.2830 0.2830 0.0000
O2 0.7170 0.7170 0.0000

=====

[6]
# La3TbHo2S6 | Alexandria | GGA-PBE | relaxed
# Energy relative to the elements, uncorrected   -2.086 eV per atom
data_La3TbHo2S6
_space_group_name_H-M_alt 'P 1'
_space_group_IT_number 1
_space_group_name_Hall 'P 1'
_cell_length_a 6.9230
_cell_length_b 6.9230
_cell_length_c 7.0662
_cell_angle_alpha 99.41
_cell_angle_beta 99.41
_cell_angle_gamma 120.12
loop_
_atom_site_label
_atom_site_fract_x
_atom_site_fract_y
_atom_site_fract_z
La1 0.0000 0.0000 0.0000
La2 0.3342 0.6658 0.0000
La3 0.6658 0.3342 0.0000
Tb1 0.5000 0.5000 0.5000
Ho1 0.1666 0.8334 0.5000
Ho2 0.8334 0.1666 0.5000
S1 0.0880 0.4239 0.2711
S2 0.2402 0.2402 0.7282
S3 0.4239 0.0880 0.2711
S4 0.5761 0.9120 0.7289
S5 0.7598 0.7598 0.2718
S6 0.9120 0.5761 0.7289

=====

[7]
# Ca2CoH4 | Alexandria | GGA-PBE | relaxed
# Electronic total energy   -3.92 eV/atom
data_Ca2CoH4
_space_group_name_H-M_alt 'P 1'
_space_group_IT_number 1
_space_group_name_Hall 'P 1'
_cell_length_a 6.6490
_cell_length_b 5.0418
_cell_length_c 9.3071
_cell_angle_alpha 90.00
_cell_angle_beta 90.00
_cell_angle_gamma 90.00
loop_
_atom_site_label
_atom_site_fract_x
_atom_site_fract_y
_atom_site_fract_z
Ca1 0.0190 0.2500 0.1852
Ca2 0.1557 0.7500 0.4104
Ca3 0.3443 0.2500 0.9104
Ca4 0.4810 0.7500 0.6852
Ca5 0.5190 0.2500 0.3148
Ca6 0.6557 0.7500 0.0896
Ca7 0.8443 0.2500 0.5896
Ca8 0.9810 0.7500 0.8148
Co1 0.2011 0.7500 0.0713
Co2 0.2989 0.2500 0.5713
Co3 0.7011 0.7500 0.4287
Co4 0.7989 0.2500 0.9287
H1 0.0111 0.7500 0.1723
H2 0.1719 0.5040 0.6365
H3 0.1719 0.9960 0.6365
H4 0.1923 0.2500 0.4118
H5 0.3077 0.7500 0.9118
H6 0.3281 0.0040 0.1365
H7 0.3281 0.4960 0.1365
H8 0.4889 0.2500 0.6723
H9 0.5111 0.7500 0.3277
H10 0.6719 0.5040 0.8635
H11 0.6719 0.9960 0.8635
H12 0.6923 0.2500 0.0882
H13 0.8077 0.7500 0.5882
H14 0.8281 0.0040 0.3635
H15 0.8281 0.4960 0.3635
H16 0.9889 0.2500 0.8277

=====

[8]
# Zr6TeCl12 | Alexandria | GGA-PBE | relaxed
# Energy relative to the elements, uncorrected   -1.377 eV per atom
data_Zr6TeCl12
_space_group_name_H-M_alt 'P 1'
_space_group_IT_number 1
_space_group_name_Hall 'P 1'
_cell_length_a 8.4275
_cell_length_b 8.4275
_cell_length_c 8.4275
_cell_angle_alpha 102.34
_cell_angle_beta 102.34
_cell_angle_gamma 102.34
loop_
_atom_site_label
_atom_site_fract_x
_atom_site_fract_y
_atom_site_fract_z
Zr1 0.1299 0.3703 0.3703
Zr2 0.3703 0.1299 0.3703
Zr3 0.3703 0.3703 0.1299
Zr4 0.6297 0.6297 0.8701
Zr5 0.6297 0.8701 0.6297
Zr6 0.8701 0.6297 0.6297
Te1 0.5000 0.5000 0.5000
Cl1 0.0000 0.3730 0.6270
Cl2 0.0000 0.6270 0.3730
Cl3 0.0576 0.0576 0.3212
Cl4 0.0576 0.3212 0.0576
Cl5 0.3212 0.0576 0.0576
Cl6 0.3730 0.0000 0.6270
Cl7 0.3730 0.6270 0.0000
Cl8 0.6270 0.0000 0.3730
Cl9 0.6270 0.3730 0.0000
Cl10 0.6788 0.9424 0.9424
Cl11 0.9424 0.6788 0.9424
Cl12 0.9424 0.9424 0.6788

=====

[9]
# ZrTe2Mo | Alexandria | GGA-PBE | relaxed
# Energy relative to the elements, uncorrected   -0.200 eV per atom
data_ZrTe2Mo
_space_group_name_H-M_alt 'P 1'
_space_group_IT_number 1
_space_group_name_Hall 'P 1'
_cell_length_a 5.2262
_cell_length_b 5.2262
_cell_length_c 5.0888
_cell_angle_alpha 102.90
_cell_angle_beta 102.90
_cell_angle_gamma 39.85
loop_
_atom_site_label
_atom_site_fract_x
_atom_site_fract_y
_atom_site_fract_z
Zr1 0.0000 0.0000 0.0000
Te1 0.2646 0.2646 0.8803
Te2 0.5018 0.5018 0.4884
Mo1 0.7760 0.7760 0.3328

=====

[10]
# TmURh6 | Alexandria | GGA-PBE | relaxed
# ΔH_f (0 K)   -0.67 eV/atom
data_TmURh6
_space_group_name_H-M_alt 'P 1'
_space_group_IT_number 1
_space_group_name_Hall 'P 1'
_cell_length_a 4.0276
_cell_length_b 4.0276
_cell_length_c 8.0010
_cell_angle_alpha 90.00
_cell_angle_beta 90.00
_cell_angle_gamma 90.00
loop_
_atom_site_label
_atom_site_fract_x
_atom_site_fract_y
_atom_site_fract_z
Tm1 0.0000 0.0000 0.0000
U1 0.0000 0.0000 0.5000
Rh1 0.0000 0.5000 0.2593
Rh2 0.0000 0.5000 0.7407
Rh3 0.5000 0.0000 0.2593
Rh4 0.5000 0.0000 0.7407
Rh5 0.5000 0.5000 0.0000
Rh6 0.5000 0.5000 0.5000

=====

[11]
# NaHo2Pb5 | Alexandria | GGA-PBE | relaxed
# ΔH_f (0 K)   -0.26 eV/atom
data_NaHo2Pb5
_space_group_name_H-M_alt 'P 1'
_space_group_IT_number 1
_space_group_name_Hall 'P 1'
_cell_length_a 6.6938
_cell_length_b 6.6938
_cell_length_c 6.6938
_cell_angle_alpha 107.31
_cell_angle_beta 107.31
_cell_angle_gamma 113.89
loop_
_atom_site_label
_atom_site_fract_x
_atom_site_fract_y
_atom_site_fract_z
Na1 0.0000 0.0000 0.0000
Ho1 0.0006 0.5006 0.5000
Ho2 0.5006 0.0006 0.5000
Pb1 0.0008 0.0008 0.5004
Pb2 0.0008 0.5005 0.0000
Pb3 0.5005 0.0008 0.0000
Pb4 0.5005 0.5005 0.4996
Pb5 0.5011 0.5011 0.0000

=====

[12]
# Np2Pa | Alexandria | GGA-PBE | relaxed
# ΔH_f (0 K)   0.15 eV/atom
data_Np2Pa
_space_group_name_H-M_alt 'P 1'
_space_group_IT_number 1
_space_group_name_Hall 'P 1'
_cell_length_a 5.5725
_cell_length_b 5.5725
_cell_length_c 5.5725
_cell_angle_alpha 60.00
_cell_angle_beta 60.00
_cell_angle_gamma 60.00
loop_
_atom_site_label
_atom_site_fract_x
_atom_site_fract_y
_atom_site_fract_z
Np1 0.0000 0.0000 0.0000
Np2 0.0000 0.0000 0.5000
Np3 0.0000 0.5000 0.0000
Np4 0.5000 0.0000 0.0000
Pa1 0.3750 0.3750 0.3750
Pa2 0.6250 0.6250 0.6250